First-principles (GGA-PBE) data for a relaxed structure of Y2CuSb, as listed in the Alexandria database.

Output
**DOS(E_F)**: 1.365 states/eV/atom
**Magnetization**: 0.000 μB/atom
**Formation energy without anion corrections**: -43.5 kJ/mol of atoms

```
4
Lattice="-2.460 -0.364 -3.471 2.555 -3.082 -1.487 -3.351 -4.133 2.808" Properties=species:S:1:pos:R:3 pbc="T T T"
Y -1.212 -3.276 -1.424
Y -2.930 -3.613 2.455
Cu -1.254 -1.547 1.051
Sb -2.888 -5.343 -0.020
```